1.
PBE K2SrSb, relaxed; symmetry = P4/mmm, No. 123; E = -2.0616 eV per atom; density = 2.47 g/cm3; raw formation energy = -0.06 eV per atom; crystal system = tetragonal
1.0
4.095 0.000 0.000
0.000 4.095 0.000
0.000 0.000 11.519
K Sr Sb
2 1 1
Cartesian
0.000 0.000 2.063
0.000 0.000 9.455
2.048 2.048 5.759
2.048 2.048 0.000

=====

2.
PBE CsPmSO, relaxed; symmetry = Cm, No. 8; E = -5.7644 eV per atom; density = 5.31 g/cm3; raw formation energy = -2.09 eV per atom; crystal system = monoclinic
1.0
3.369 -1.945 0.000
3.369 1.945 0.000
-2.237 0.000 7.779
Cs Pm S O
1 1 1 1
Cartesian
0.000 0.000 0.000
0.009 0.000 3.668
2.255 0.000 5.415
4.501 0.000 2.745

=====

3.
PBE La4TbSm3S8, relaxed; symmetry = R-3m, No. 166; E = -6.5652 eV per atom; density = 6.18 g/cm3; raw formation energy = -2.10 eV per atom; crystal system = trigonal
1.0
4.066 2.348 6.673
-4.066 2.348 6.673
0.000 -4.695 6.673
La Tb Sm S
4 1 3 8
Cartesian
0.000 0.000 0.000
-2.033 -1.174 6.673
-2.033 1.174 13.345
0.000 2.348 6.673
0.000 0.000 10.009
-4.066 0.000 10.009
-2.033 1.174 3.336
2.033 1.174 3.336
0.000 0.000 4.933
-2.009 -1.160 11.587
0.000 -2.320 8.430
-2.009 1.160 8.430
2.009 -1.160 11.587
0.000 2.320 11.587
2.009 1.160 8.430
0.000 0.000 15.084